Arrangement A

First-principles (GGA-PBE) data for a relaxed Tb8BiC4 crystal, as listed in Alexandria.

Cell: 3.6465 8.9746 9.3120 Å, 81.85 78.71 78.28°
Last column: nearest neighbours and their distance in Å.
Positions (direct):
Tb  0.1465  0.3280  0.3790  3 C 2.53-2.54
Tb  0.5571  0.6560  0.2298  3 C 2.49-2.54
Tb  0.4743  0.3473  0.7041  3 C 2.49-2.54
Tb  0.8848  0.6756  0.5549  3 C 2.53-2.54
Tb  0.8496  0.9930  0.3078  3 C 2.45-2.48
Tb  0.2214  0.6594  0.8978  3 C 2.47-2.51
Tb  0.1819  0.0105  0.6257  3 C 2.46-2.48
Tb  0.8101  0.3438  0.0361  3 C 2.47-2.51
Bi  0.5159  0.0016  0.9667  10 Tb 3.60-3.67, 2 Bi 3.65
C  0.3669  0.8391  0.4271  6 Tb 2.45-2.54
C  0.8491  0.5044  0.7973  6 Tb 2.47-2.54
C  0.1823  0.4988  0.1366  6 Tb 2.47-2.54
C  0.6645  0.1645  0.5065  6 Tb 2.46-2.54



Arrangement B

First-principles (GGA-PBE) data for a relaxed Tb8BiC4 crystal, as listed in Alexandria.

Cell: 7.7459 7.7459 7.7459 Å, 60.00 60.00 60.00°
Last column: nearest neighbours and their distance in Å.
Positions (direct):
Tb  0.5789  0.1404  0.1404  3 C 2.53
Tb  0.1404  0.5789  0.1404  3 C 2.53
Tb  0.1404  0.1404  0.5789  3 C 2.53
Tb  0.1404  0.1404  0.1404  3 C 2.53
Tb  0.1973  0.6009  0.6009  3 C 2.55, 1 Bi 2.83
Tb  0.6009  0.1973  0.6009  3 C 2.55, 1 Bi 2.83
Tb  0.6009  0.6009  0.1973  3 C 2.55, 1 Bi 2.83
Tb  0.6009  0.6009  0.6009  3 C 2.55, 1 Bi 2.83
Bi  0.7500  0.7500  0.7500  4 Tb 2.83
C  0.8867  0.3711  0.3711  6 Tb 2.53-2.55
C  0.3711  0.8867  0.3711  6 Tb 2.53-2.55
C  0.3711  0.3711  0.8867  6 Tb 2.53-2.55
C  0.3711  0.3711  0.3711  6 Tb 2.53-2.55



Here are the energies relative to the best structure, in meV/atom: arrangement A 0; arrangement B 164.



Arrangement A

First-principles (GGA-PBE) data for a relaxed Tb6Bi2C crystal, as listed in Alexandria.

Cell: 6.9979 6.9974 9.8799 Å, 90.00 89.99 90.00°
Last column: nearest neighbours and their distance in Å.
Positions (direct):
Tb  0.0002  0.0000  0.2543  1 C 2.43
Tb  0.7538  0.7550  0.5001  1 C 2.43
Tb  0.7450  0.7462  0.0000  1 C 2.43
Tb  0.7550  0.2462  0.5000  1 C 2.43
Tb  0.7462  0.2550  0.9999  1 C 2.43
Tb  0.4998  0.5000  0.2457  1 C 2.43
Tb  0.9998  0.0000  0.7457  1 C 2.43
Tb  0.2462  0.2450  0.4999  1 C 2.43
Tb  0.2550  0.2538  0.0000  1 C 2.43
Tb  0.2450  0.7538  0.5000  1 C 2.43
Tb  0.2538  0.7450  0.0001  1 C 2.43
Tb  0.5002  0.5000  0.7543  1 C 2.43
Bi  0.0000  0.5000  0.7500  12 Tb 3.49-3.50
Bi  0.5000  0.0000  0.7500  12 Tb 3.49-3.50
Bi  0.5000  0.0000  0.2500  12 Tb 3.49-3.50
Bi  0.0000  0.5000  0.2500  12 Tb 3.49-3.50
C  0.5000  0.5000  0.0000  6 Tb 2.43
C  0.0000  0.0000  0.5000  6 Tb 2.43



Arrangement B

First-principles (GGA-PBE) data for a relaxed Tb6Bi2C crystal, as listed in Alexandria.

Cell: 6.4987 7.9789 9.8893 Å, 90.00 92.00 90.00°
Last column: nearest neighbours and their distance in Å.
Positions (direct):
Tb  0.8905  0.9748  0.2550  1 C 2.51
Tb  0.8629  0.7155  0.5429  1 C 2.48
Tb  0.8275  0.6629  0.9615  1 C 2.53
Tb  0.6725  0.1629  0.5385  1 C 2.53
Tb  0.6371  0.2155  0.9571  1 C 2.48
Tb  0.6095  0.4748  0.2450  1 C 2.51
Tb  0.1095  0.0252  0.7450  1 C 2.51
Tb  0.1371  0.2845  0.4571  1 C 2.48
Tb  0.1725  0.3371  0.0385  1 C 2.53
Tb  0.3275  0.8371  0.4615  1 C 2.53
Tb  0.3629  0.7845  0.0429  1 C 2.48
Tb  0.3905  0.5252  0.7550  1 C 2.51
Bi  0.9200  0.3952  0.7415  8 Tb 3.12-3.35
Bi  0.5800  0.8952  0.7585  8 Tb 3.12-3.35
Bi  0.4200  0.1048  0.2415  8 Tb 3.12-3.35
Bi  0.0800  0.6048  0.2585  8 Tb 3.12-3.35
C  0.5000  0.5000  0.0000  6 Tb 2.48-2.53
C  0.0000  0.0000  0.5000  6 Tb 2.48-2.53



Here are the energies relative to the best structure, in meV/atom: arrangement A 29; arrangement B 0.



Arrangement A

First-principles (GGA-PBE) data for a relaxed Tc2BiC crystal, as listed in Alexandria.

Cell: 4.4052 4.4052 4.4052 Å, 60.00 60.00 60.00°
Last column: nearest neighbours and their distance in Å.
Positions (direct):
C  0.0000  0.0000  0.0000  8 Tc 2.70
Bi  0.5000  0.5000  0.5000  8 Tc 2.70
Tc  0.2500  0.2500  0.2500  4 Bi 2.70, 4 C 2.70
Tc  0.7500  0.7500  0.7500  4 Bi 2.70, 4 C 2.70



Arrangement B

First-principles (GGA-PBE) data for a relaxed Tc2BiC crystal, as listed in Alexandria.

Cell: 5.8386 5.8386 5.9137 Å, 60.42 60.42 90.00°
Last column: nearest neighbours and their distance in Å.
Positions (direct):
C  0.5000  0.5000  0.0000  4 Tc 1.95
C  0.2500  0.7500  0.5000  4 Tc 1.95
Bi  0.0000  0.0000  0.0000  4 Tc 2.82
Bi  0.7500  0.2500  0.5000  4 Tc 2.82
Tc  0.5037  0.1250  0.2500  2 C 1.95
Tc  0.2463  0.6250  0.2500  2 C 1.95
Tc  0.3750  0.4963  0.7500  2 C 1.95
Tc  0.8750  0.7537  0.7500  2 C 1.95



Here are the energies relative to the best structure, in meV/atom: arrangement A 826; arrangement B 0.



Arrangement A

First-principles (GGA-PBE) data for a relaxed BiTeC3 crystal, as listed in Alexandria.

Cell: 4.2443 4.2443 4.2443 Å, 90.00 90.00 90.00°
Last column: nearest neighbours and their distance in Å.
Positions (direct):
C  0.0000  0.5000  0.0000  2 Te 2.12
C  0.0000  0.0000  0.5000  2 Te 2.12
C  0.5000  0.0000  0.0000  2 Te 2.12
Te  0.0000  0.0000  0.0000  6 C 2.12
Bi  0.5000  0.5000  0.5000  12 C 3.00



Arrangement B

First-principles (GGA-PBE) data for a relaxed BiTeC3 crystal, as listed in Alexandria.

Cell: 4.5392 4.5392 4.5392 Å, 90.00 90.00 90.00°
Last column: nearest neighbours and their distance in Å.
Positions (direct):
C  0.0000  0.5000  0.0000  2 Bi 2.27
C  0.0000  0.0000  0.5000  2 Bi 2.27
C  0.5000  0.0000  0.0000  2 Bi 2.27
Te  0.5000  0.5000  0.5000  12 C 3.21
Bi  0.0000  0.0000  0.0000  6 C 2.27



Here are the energies relative to the best structure, in meV/atom: arrangement A 0; arrangement B 554.



Arrangement A

First-principles (GGA-PBE) data for a relaxed TiBi3C crystal, as listed in Alexandria.

Cell: 4.9350 4.9350 4.9350 Å, 90.00 90.00 90.00°
Last column: nearest neighbours and their distance in Å.
Positions (direct):
C  0.0000  0.0000  0.0000  6 Bi 2.47
Bi  0.0000  0.5000  0.0000  2 C 2.47
Bi  0.0000  0.0000  0.5000  2 C 2.47
Bi  0.5000  0.0000  0.0000  2 C 2.47
Ti  0.5000  0.5000  0.5000  12 Bi 3.49



Arrangement B

First-principles (GGA-PBE) data for a relaxed TiBi3C crystal, as listed in Alexandria.

Cell: 5.3524 5.3524 5.3524 Å, 90.00 90.00 90.00°
Last column: nearest neighbours and their distance in Å.
Positions (direct):
C  0.5000  0.5000  0.5000  12 Bi 3.78
Bi  0.0000  0.5000  0.0000  2 Ti 2.68
Bi  0.0000  0.0000  0.5000  2 Ti 2.68
Bi  0.5000  0.0000  0.0000  2 Ti 2.68
Ti  0.0000  0.0000  0.0000  6 Bi 2.68



Here are the energies relative to the best structure, in meV/atom: arrangement A 0; arrangement B 397.



Arrangement A

First-principles (GGA-PBE) data for a relaxed TiBiC3 crystal, as listed in Alexandria.

Cell: 4.3549 4.3549 4.3549 Å, 90.00 90.00 90.00°
Last column: nearest neighbours and their distance in Å.
Positions (direct):
C  0.0000  0.5000  0.0000  2 Bi 2.18
C  0.0000  0.0000  0.5000  2 Bi 2.18
C  0.5000  0.0000  0.0000  2 Bi 2.18
Bi  0.0000  0.0000  0.0000  6 C 2.18
Ti  0.5000  0.5000  0.5000  12 C 3.08



Arrangement B

First-principles (GGA-PBE) data for a relaxed TiBiC3 crystal, as listed in Alexandria.

Cell: 4.1345 4.1345 4.1345 Å, 90.00 90.00 90.00°
Last column: nearest neighbours and their distance in Å.
Positions (direct):
C  0.0000  0.5000  0.0000  2 Ti 2.07
C  0.0000  0.0000  0.5000  2 Ti 2.07
C  0.5000  0.0000  0.0000  2 Ti 2.07
Bi  0.5000  0.5000  0.5000  12 C 2.92
Ti  0.0000  0.0000  0.0000  6 C 2.07



Here are the energies relative to the best structure, in meV/atom: arrangement A 1378; arrangement B 0.



Arrangement A

First-principles (GGA-PBE) data for a relaxed Tl3BiC crystal, as listed in Alexandria.

Cell: 5.0526 5.0526 5.0526 Å, 90.00 90.00 90.00°
Last column: nearest neighbours and their distance in Å.
Positions (direct):
C  0.0000  0.0000  0.0000  6 Tl 2.53
Tl  0.0000  0.5000  0.0000  2 C 2.53
Tl  0.0000  0.0000  0.5000  2 C 2.53
Tl  0.5000  0.0000  0.0000  2 C 2.53
Bi  0.5000  0.5000  0.5000  12 Tl 3.57



Arrangement B

First-principles (GGA-PBE) data for a relaxed Tl3BiC crystal, as listed in Alexandria.

Cell: 6.2634 6.2634 6.2634 Å, 90.00 90.00 90.00°
Last column: nearest neighbours and their distance in Å.
Positions (direct):
C  0.5000  0.5000  0.5000  12 Tl 4.43
Tl  0.0000  0.5000  0.0000  2 Bi 3.13
Tl  0.0000  0.0000  0.5000  2 Bi 3.13
Tl  0.5000  0.0000  0.0000  2 Bi 3.13
Bi  0.0000  0.0000  0.0000  6 Tl 3.13



Here are the energies relative to the best structure, in meV/atom: arrangement A 0; arrangement B 786.



Arrangement A

First-principles (GGA-PBE) data for a relaxed TlBiC2 crystal, as listed in Alexandria.

Cell: 5.3733 5.3733 6.5399 Å, 65.74 65.74 90.00°
Last column: nearest neighbours and their distance in Å.
Positions (direct):
C  0.6317  0.1250  0.2500  2 Bi 2.30, 2 Tl 2.34
C  0.1183  0.6250  0.2500  2 Bi 2.30, 2 Tl 2.34
C  0.3750  0.3683  0.7500  2 Bi 2.30, 2 Tl 2.34
C  0.8750  0.8817  0.7500  2 Bi 2.30, 2 Tl 2.34
Tl  0.5000  0.5000  0.0000  4 C 2.34
Tl  0.2500  0.7500  0.5000  4 C 2.34
Bi  0.0000  0.0000  0.0000  4 C 2.30
Bi  0.7500  0.2500  0.5000  4 C 2.30



Arrangement B

First-principles (GGA-PBE) data for a relaxed TlBiC2 crystal, as listed in Alexandria.

Cell: 4.5915 4.5915 4.5915 Å, 60.00 60.00 60.00°
Last column: nearest neighbours and their distance in Å.
Positions (direct):
C  0.2500  0.2500  0.2500  4 Bi 2.81, 4 Tl 2.81
C  0.7500  0.7500  0.7500  4 Bi 2.81, 4 Tl 2.81
Tl  0.0000  0.0000  0.0000  8 C 2.81
Bi  0.5000  0.5000  0.5000  8 C 2.81



Here are the energies relative to the best structure, in meV/atom: arrangement A 0; arrangement B 769.



Arrangement A

First-principles (GGA-PBE) data for a relaxed Tm3BiC crystal, as listed in Alexandria.

Cell: 4.7788 4.7963 10.9779 Å, 90.00 102.58 90.00°
Last column: nearest neighbours and their distance in Å.
Positions (direct):
Tm  0.6772  0.2500  0.8540  1 C 2.31
Tm  0.3228  0.7500  0.1460  1 C 2.31
Tm  0.9349  0.7500  0.3699  2 C 2.39
Tm  0.0651  0.2500  0.6301  2 C 2.39
Tm  0.4460  0.2500  0.3920  3 C 2.42-2.64
Tm  0.5540  0.7500  0.6080  3 C 2.42-2.64
Bi  0.8282  0.2500  0.1563  9 Tm 3.24-3.48
Bi  0.1718  0.7500  0.8437  9 Tm 3.24-3.48
C  0.4308  0.7500  0.3613  5 Tm 2.31-2.42
C  0.5692  0.2500  0.6387  5 Tm 2.31-2.42



Arrangement B

First-principles (GGA-PBE) data for a relaxed Tm3BiC crystal, as listed in Alexandria.

Cell: 4.8489 4.8489 4.8489 Å, 90.00 90.00 90.00°
Last column: nearest neighbours and their distance in Å.
Positions (direct):
C  0.0000  0.0000  0.0000  6 Tm 2.42
Tm  0.0000  0.5000  0.0000  2 C 2.42
Tm  0.0000  0.0000  0.5000  2 C 2.42
Tm  0.5000  0.0000  0.0000  2 C 2.42
Bi  0.5000  0.5000  0.5000  12 Tm 3.43



Here are the energies relative to the best structure, in meV/atom: arrangement A 0; arrangement B 28.



Arrangement A

First-principles (GGA-PBE) data for a relaxed Tm8BiC4 crystal, as listed in Alexandria.

Cell: 3.5849 8.7867 9.0952 Å, 82.15 78.63 78.23°
Last column: nearest neighbours and their distance in Å.
Positions (direct):
Tm  0.1482  0.3260  0.3777  3 C 2.48
Tm  0.5566  0.6527  0.2342  3 C 2.43-2.45
Tm  0.4749  0.3506  0.6996  3 C 2.43-2.45
Tm  0.8833  0.6773  0.5560  3 C 2.48
Tm  0.8501  0.9912  0.3086  3 C 2.40-2.44
Tm  0.2222  0.6577  0.8978  3 C 2.42-2.46
Tm  0.1813  0.0121  0.6252  3 C 2.40-2.44
Tm  0.8092  0.3457  0.0358  3 C 2.42-2.46
Bi  0.5156  0.0019  0.9670  10 Tm 3.53-3.64, 2 Bi 3.58
C  0.3681  0.8378  0.4260  6 Tm 2.40-2.48
C  0.8502  0.5043  0.7953  6 Tm 2.42-2.48
C  0.1813  0.4991  0.1383  6 Tm 2.42-2.48
C  0.6634  0.1655  0.5078  6 Tm 2.40-2.48



Arrangement B

First-principles (GGA-PBE) data for a relaxed Tm8BiC4 crystal, as listed in Alexandria.

Cell: 7.1917 7.1917 8.0782 Å, 63.57 63.57 60.00°
Last column: nearest neighbours and their distance in Å.
Positions (direct):
Tm  0.7302  0.2270  0.8157  3 C 2.43-2.44
Tm  0.7730  0.2698  0.1843  3 C 2.43-2.44
Tm  0.2698  0.7730  0.1843  3 C 2.43-2.44
Tm  0.7730  0.7730  0.1843  3 C 2.43-2.44
Tm  0.7307  0.7307  0.8079  3 C 2.47
Tm  0.2693  0.2693  0.1921  3 C 2.47
Tm  0.2270  0.2270  0.8157  3 C 2.43-2.44
Tm  0.2270  0.7302  0.8157  3 C 2.43-2.44
Bi  0.5000  0.5000  0.5000  6 Tm 3.03
C  0.0000  0.5000  0.0000  6 Tm 2.44-2.47
C  0.5000  0.5000  0.0000  6 Tm 2.44-2.47
C  0.5000  0.0000  0.0000  6 Tm 2.44-2.47
C  0.0000  0.0000  0.0000  6 Tm 2.43



Here are the energies relative to the best structure, in meV/atom: arrangement A 0; arrangement B 46.



Arrangement A

First-principles (GGA-PBE) data for a relaxed VBi2C2 crystal, as listed in Alexandria.

Cell: 6.0546 6.0546 4.9975 Å, 90.00 90.00 90.00°
Last column: nearest neighbours and their distance in Å.
Positions (direct):
C  0.2540  0.7540  0.0000  2 V 2.14
C  0.7540  0.7460  0.0000  2 V 2.14
C  0.7460  0.2460  0.0000  2 V 2.14
C  0.2460  0.2540  0.0000  2 V 2.14
Bi  0.1856  0.6856  0.5000  2 C 2.57
Bi  0.6856  0.8144  0.5000  2 C 2.57
Bi  0.8144  0.3144  0.5000  2 C 2.57
Bi  0.3144  0.1856  0.5000  2 C 2.57
V  0.0000  0.0000  0.0000  4 C 2.14
V  0.5000  0.5000  0.0000  4 C 2.14



Arrangement B

First-principles (GGA-PBE) data for a relaxed VBi2C2 crystal, as listed in Alexandria.

Cell: 4.4875 4.4875 5.7712 Å, 67.12 67.12 90.00°
Last column: nearest neighbours and their distance in Å.
Positions (direct):
C  0.4328  0.4328  0.1345  1 C 1.30
C  0.5672  0.5672  0.8655  1 C 1.30
Bi  0.7500  0.2500  0.5000  4 C 2.85, 4 Bi 3.17
Bi  0.2500  0.7500  0.5000  4 C 2.85, 4 Bi 3.17
V  0.0000  0.0000  0.0000  8 C 3.24, 8 Bi 3.29



Here are the energies relative to the best structure, in meV/atom: arrangement A 0; arrangement B 136.



Arrangement A

First-principles (GGA-PBE) data for a relaxed VBiC3 crystal, as listed in Alexandria.

Cell: 4.0288 4.0288 4.0288 Å, 90.00 90.00 90.00°
Last column: nearest neighbours and their distance in Å.
Positions (direct):
C  0.0000  0.5000  0.0000  2 V 2.01
C  0.0000  0.0000  0.5000  2 V 2.01
C  0.5000  0.0000  0.0000  2 V 2.01
Bi  0.5000  0.5000  0.5000  12 C 2.85
V  0.0000  0.0000  0.0000  6 C 2.01



Arrangement B

First-principles (GGA-PBE) data for a relaxed VBiC3 crystal, as listed in Alexandria.

Cell: 4.4103 4.4103 4.4103 Å, 90.00 90.00 90.00°
Last column: nearest neighbours and their distance in Å.
Positions (direct):
C  0.0000  0.5000  0.0000  2 Bi 2.21
C  0.0000  0.0000  0.5000  2 Bi 2.21
C  0.5000  0.0000  0.0000  2 Bi 2.21
Bi  0.0000  0.0000  0.0000  6 C 2.21
V  0.5000  0.5000  0.5000  12 C 3.12



Here are the energies relative to the best structure, in meV/atom: arrangement A 0; arrangement B 1720.